Entry 1:
# Nd2Al6Pd

A geometry-optimized Nd2Al6Pd structure (PBE-GGA, Alexandria).

Unit cell a=5.9069 b=5.9521 c=5.9521 alpha=60.00 beta=90.01 gamma=90.01
Element x y z (fractional)
Nd (0.8550, 0.6666, 0.6666)
Nd (0.1450, 0.3334, 0.3334)
Al (0.3219, 0.3455, 0.8273)
Al (0.3217, 0.8273, 0.8273)
Al (0.3219, 0.8273, 0.3455)
Al (0.6781, 0.6545, 0.1727)
Al (0.6783, 0.1727, 0.1727)
Al (0.6781, 0.1727, 0.6545)
Pd (0.0000, 0.0000, 0.0000)

Properties
Total magnetization in μB per cell: 0.000
E_form in eV per atom: -0.54

Entry 2:
# Nd2Al3Pd5

A geometry-optimized Nd2Al3Pd5 structure (PBE-GGA, Alexandria).

Unit cell a=5.9053 b=8.6194 c=8.6194 alpha=77.29 beta=69.97 gamma=69.97
Element x y z (fractional)
Nd (0.1389, 0.5875, 0.1348)
Nd (0.6389, 0.1348, 0.5875)
Nd (0.8611, 0.4125, 0.8652)
Nd (0.3611, 0.8652, 0.4125)
Al (0.3587, 0.5432, 0.7394)
Al (0.8587, 0.7394, 0.5432)
Al (0.6413, 0.4568, 0.2606)
Al (0.1413, 0.2606, 0.4568)
Al (0.2500, 0.0000, 0.0000)
Al (0.7500, 0.0000, 0.0000)
Pd (0.4070, 0.2673, 0.9188)
Pd (0.9070, 0.9188, 0.2673)
Pd (0.5930, 0.7327, 0.0812)
Pd (0.0930, 0.0812, 0.7327)
Pd (0.4663, 0.7837, 0.7837)
Pd (0.5337, 0.2163, 0.2163)
Pd (0.7500, 0.5000, 0.5000)
Pd (0.2500, 0.5000, 0.5000)
Pd (0.0337, 0.2163, 0.2163)
Pd (0.9663, 0.7837, 0.7837)

Properties
Total magnetization in μB per cell: 0.000
E_form in eV per atom: -0.83